# BeSnO3

An optimized crystal structure of BeSnO3 (PBE, the Alexandria database).

Cell lengths 3.4984, 3.4984, 3.4984 Å; angles 90.00, 90.00, 90.00 degrees
With the nearest neighbours (Å) after each atom.
Element x y z (fractional)
Be  0.0000  0.0000  0.0000  6 O 1.75
Sn  0.5000  0.5000  0.5000  12 O 2.47
O  0.0000  0.0000  0.5000  2 Be 1.75
O  0.0000  0.5000  0.0000  2 Be 1.75
O  0.5000  0.0000  0.0000  2 Be 1.75

E_form (uncorrected): -550 kJ/mol of formula units
calculated density: 6.81 g cm⁻³
crystal system: cubic
VASP energy: -5.660 eV per atom
symmetry: Pm-3m, No. 221



# Be2SnO

An optimized crystal structure of Be2SnO (PBE, the Alexandria database).

Cell lengths 5.5023, 5.5023, 5.5023 Å; angles 126.08, 126.08, 79.75 degrees
With the nearest neighbours (Å) after each atom.
Element x y z (fractional)
Be  0.3750  0.2178  0.3428  2 O 1.70
Be  0.7822  0.1250  0.1572  2 O 1.70
Be  0.8750  0.0322  0.6572  2 O 1.70
Be  0.9678  0.6250  0.8428  2 O 1.70
Sn  0.2500  0.7500  0.5000  4 Be 2.61
Sn  0.5000  0.5000  0.0000  4 Be 2.61
O  0.0000  0.0000  0.0000  4 Be 1.70
O  0.7500  0.2500  0.5000  4 Be 1.70

E_form (uncorrected): -283 kJ/mol of formula units
energy relative to the lowest polymorph listed for this composition: 0.0 kJ/mol of atoms
calculated density: 4.83 g cm⁻³
crystal system: tetragonal
VASP energy: -4.838 eV per atom
symmetry: I-42d, No. 122



# Be2SnO

An optimized crystal structure of Be2SnO (PBE, the Alexandria database).

Cell lengths 4.2337, 4.2337, 4.2337 Å; angles 60.00, 60.00, 60.00 degrees
With the nearest neighbours (Å) after each atom.
Element x y z (fractional)
Be  0.2500  0.2500  0.2500  4 O 2.59, 4 Sn 2.59
Be  0.7500  0.7500  0.7500  4 Sn 2.59, 4 O 2.59
Sn  0.0000  0.0000  0.0000  8 Be 2.59
O  0.5000  0.5000  0.5000  8 Be 2.59

E_form (uncorrected): 285 kJ/mol of formula units
energy relative to the lowest polymorph listed for this composition: 142.1 kJ/mol of atoms
calculated density: 4.73 g cm⁻³
crystal system: cubic
VASP energy: -3.365 eV per atom
symmetry: Fm-3m, No. 225



# BeSnO3

An optimized crystal structure of BeSnO3 (PBE, the Alexandria database).

Cell lengths 3.9610, 3.9610, 3.9610 Å; angles 90.00, 90.00, 90.00 degrees
With the nearest neighbours (Å) after each atom.
Element x y z (fractional)
Be  0.0000  0.0000  0.0000  12 O 2.80
Sn  0.5000  0.5000  0.5000  6 O 1.98
O  0.0000  0.5000  0.5000  2 Sn 1.98
O  0.5000  0.0000  0.5000  2 Sn 1.98
O  0.5000  0.5000  0.0000  2 Sn 1.98

E_form (uncorrected): -251 kJ/mol of formula units
calculated density: 4.70 g cm⁻³
crystal system: cubic
VASP energy: -5.042 eV per atom
symmetry: Pm-3m, No. 221



# BeSn3O

An optimized crystal structure of BeSn3O (PBE, the Alexandria database).

Cell lengths 4.7534, 4.7534, 4.7534 Å; angles 90.00, 90.00, 90.00 degrees
With the nearest neighbours (Å) after each atom.
Element x y z (fractional)
Be  0.0000  0.0000  0.0000  12 Sn 3.36
Sn  0.0000  0.5000  0.5000  2 O 2.38
Sn  0.5000  0.0000  0.5000  2 O 2.38
Sn  0.5000  0.5000  0.0000  2 O 2.38
O  0.5000  0.5000  0.5000  6 Sn 2.38

E_form (uncorrected): 79 kJ/mol of formula units
energy relative to the lowest polymorph listed for this composition: 0.0 kJ/mol of atoms
calculated density: 5.89 g cm⁻³
crystal system: cubic
VASP energy: -3.974 eV per atom
symmetry: Pm-3m, No. 221



# SrBeSnO4

An optimized crystal structure of SrBeSnO4 (PBE, the Alexandria database).

Cell lengths 5.7572, 5.7572, 6.3139 Å; angles 90.00, 90.00, 111.81 degrees
With the nearest neighbours (Å) after each atom.
Element x y z (fractional)
Sr  0.0000  0.0000  0.0000  6 O 2.49-2.51
Sr  0.0000  0.0000  0.5000  6 O 2.49-2.51
Be  0.3603  0.6397  0.7500  4 O 1.68-1.72
Be  0.6397  0.3603  0.2500  4 O 1.68-1.72
Sn  0.3616  0.6384  0.2500  4 O 2.00-2.01
Sn  0.6384  0.3616  0.7500  4 O 2.00-2.01
O  0.2628  0.7372  0.5286  1 Be 1.68
O  0.2628  0.7372  0.9714  1 Be 1.68
O  0.2749  0.3190  0.7500  1 Be 1.72
O  0.3190  0.2749  0.2500  1 Be 1.72
O  0.6810  0.7251  0.7500  1 Be 1.72
O  0.7251  0.6810  0.2500  1 Be 1.72
O  0.7372  0.2628  0.0286  1 Be 1.68
O  0.7372  0.2628  0.4714  1 Be 1.68

E_form (uncorrected): -1437 kJ/mol of formula units
calculated density: 4.77 g cm⁻³
crystal system: orthorhombic
VASP energy: -6.306 eV per atom
symmetry: Cmcm, No. 63



> Which of these has the highest E_form (uncorrected)?

number 3